Compound: Tb4PrTe5
Source: Alexandria via LeMat-Bulk
Functional: PBE-GGA
Structure: optimized geometry

Lattice parameters (Å, degrees): 4.396 7.644 9.839 75.13 77.09 73.29
Element x y z (fractional)
Tb 0.597 0.199 0.607
Tb 0.206 0.388 0.201
Tb 0.794 0.612 0.799
Tb 0.403 0.801 0.393
Pr 0.000 0.000 0.000
Te 0.204 0.902 0.691
Te 0.796 0.098 0.309
Te 0.394 0.316 0.896
Te 0.000 0.500 0.500
Te 0.606 0.684 0.104

Properties
* space group: C2/m (12)
* formation energy (no corrections): -1.34 eV per atom
* calculated volume: 302 Å³ per cell

Compound: HgBi5Pb4
Source: Alexandria via LeMat-Bulk
Functional: PBE-GGA
Structure: optimized geometry

Lattice parameters (Å, degrees): 6.018 11.574 9.780 90.00 90.00 90.00
Element x y z (fractional)
Hg 0.503 0.000 0.000
Hg 0.497 0.500 0.500
Bi 0.265 0.751 0.823
Bi 0.265 0.249 0.823
Bi 0.263 0.500 0.000
Bi 0.265 0.751 0.177
Bi 0.265 0.249 0.177
Bi 0.735 0.749 0.323
Bi 0.735 0.251 0.323
Bi 0.737 0.000 0.500
Bi 0.735 0.251 0.677
Bi 0.735 0.749 0.677
Pb 0.972 0.000 0.815
Pb 0.753 0.646 0.000
Pb 0.753 0.354 0.000
Pb 0.972 0.000 0.185
Pb 0.028 0.500 0.315
Pb 0.247 0.854 0.500
Pb 0.247 0.146 0.500
Pb 0.028 0.500 0.685

Properties
* space group: Pmmn (59)
* uncorrected energy: -3.36 eV per atom
* calculated volume: 681 Å³ per cell

Compound: Pr12Sm7Pb
Source: Alexandria via LeMat-Bulk
Functional: PBE-GGA
Structure: optimized geometry

Lattice parameters (Å, degrees): 8.887 8.887 8.887 89.30 89.30 89.30
Element x y z (fractional)
Pr 0.875 0.266 0.738
Pr 0.734 0.262 0.125
Pr 0.619 0.143 0.500
Pr 0.857 0.500 0.381
Pr 0.262 0.125 0.734
Pr 0.500 0.381 0.857
Pr 0.500 0.619 0.143
Pr 0.738 0.875 0.266
Pr 0.143 0.500 0.619
Pr 0.381 0.857 0.500
Pr 0.266 0.738 0.875
Pr 0.125 0.734 0.262
Sm 0.854 0.619 0.935
Sm 0.381 0.065 0.146
Sm 0.065 0.146 0.381
Sm 0.500 0.500 0.500
Sm 0.935 0.854 0.619
Sm 0.619 0.935 0.854
Sm 0.146 0.381 0.065
Pb 0.000 0.000 0.000

Properties
* space group: R-3 (148)
* uncorrected energy: -4.59 eV per atom
* calculated volume: 702 Å³ per cell

Compound: Sm8Ir3OsBr4
Source: Alexandria via LeMat-Bulk
Functional: PBE-GGA
Structure: optimized geometry

Lattice parameters (Å, degrees): 8.213 9.074 8.212 116.95 120.01 90.00
Element x y z (fractional)
Sm 0.230 0.695 0.966
Sm 0.230 0.695 0.459
Sm 0.269 0.308 0.538
Sm 0.736 0.695 0.966
Sm 0.264 0.305 0.034
Sm 0.731 0.692 0.462
Sm 0.770 0.305 0.541
Sm 0.770 0.305 0.034
Ir 0.500 0.500 0.000
Ir 0.500 0.500 0.500
Ir 0.000 0.500 0.500
Os 0.000 0.500 0.000
Br 0.500 0.000 0.000
Br 0.500 0.000 0.500
Br 0.000 0.000 0.000
Br 0.000 0.000 0.500

Properties
* space group: C2/m (12)
* formation energy (no corrections): -0.99 eV per atom
* calculated volume: 452 Å³ per cell

Compound: RbCrAs2Se
Source: Alexandria via LeMat-Bulk
Functional: PBE-GGA
Structure: optimized geometry

Lattice parameters (Å, degrees): 5.606 5.606 5.761 90.00 90.00 90.00
Element x y z (fractional)
Cr 0.500 0.500 0.500
As 0.000 0.500 0.000
As 0.500 0.000 0.000
Se 0.000 0.000 0.500
Rb 0.000 0.000 0.000

Properties
* space group: P4/mmm (123)
* formation energy (no corrections): 1.73 eV per atom
* calculated volume: 181 Å³ per cell

Compound: Cd2PdPt2
Source: Alexandria via LeMat-Bulk
Functional: PBE-GGA
Structure: optimized geometry

Lattice parameters (Å, degrees): 7.907 7.907 2.945 90.00 90.00 90.00
Element x y z (fractional)
Pd 0.000 0.000 0.000
Pd 0.500 0.500 0.000
Pt 0.132 0.632 0.500
Pt 0.632 0.868 0.500
Pt 0.868 0.368 0.500
Pt 0.368 0.132 0.500
Cd 0.334 0.834 0.000
Cd 0.834 0.666 0.000
Cd 0.666 0.166 0.000
Cd 0.166 0.334 0.000

Properties
* space group: P4/mbm (127)
* uncorrected energy: -3.89 eV per atom
* calculated volume: 184 Å³ per cell

Compound: ZrCdHg2
Source: Alexandria via LeMat-Bulk
Functional: PBE-GGA
Structure: optimized geometry

Lattice parameters (Å, degrees): 6.106 6.106 5.650 64.76 64.76 28.21
Element x y z (fractional)
Cd 0.241 0.241 0.170
Hg 0.000 0.000 0.087
Hg 0.760 0.760 0.648
Zr 0.500 0.500 0.595

Properties
* space group: Cm (8)
* uncorrected energy: -2.52 eV per atom
* calculated volume: 89 Å³ per cell

Compound: ZnOs2Se
Source: Alexandria via LeMat-Bulk
Functional: PBE-GGA
Structure: optimized geometry

Lattice parameters (Å, degrees): 3.814 2.839 6.545 64.41 90.00 90.00
Element x y z (fractional)
Os 0.000 0.979 0.021
Os 0.500 0.256 0.244
Se 0.000 0.555 0.446
Zn 0.500 0.710 0.789

Properties
* space group: Pm (6)
* formation energy (no corrections): 0.49 eV per atom
* calculated volume: 64 Å³ per cell

Compound: SmHo3Ni4
Source: Alexandria via LeMat-Bulk
Functional: PBE-GGA
Structure: optimized geometry

Lattice parameters (Å, degrees): 4.226 5.413 7.018 89.49 90.00 90.00
Element x y z (fractional)
Sm 0.250 0.367 0.680
Ho 0.250 0.134 0.180
Ho 0.750 0.634 0.317
Ho 0.750 0.866 0.821
Ni 0.250 0.872 0.533
Ni 0.250 0.632 0.042
Ni 0.750 0.122 0.457
Ni 0.750 0.373 0.969

Properties
* space group: Pm (6)
* uncorrected energy: -5.64 eV per atom
* calculated volume: 161 Å³ per cell

Compound: AlGa3Pd2
Source: Alexandria via LeMat-Bulk
Functional: PBE-GGA
Structure: optimized geometry

Lattice parameters (Å, degrees): 4.287 7.368 7.368 115.55 90.00 90.00
Element x y z (fractional)
Al 0.993 0.654 0.654
Al 0.493 0.346 0.346
Ga 0.993 0.877 0.380
Ga 0.493 0.620 0.123
Ga 0.993 0.380 0.877
Ga 0.493 0.123 0.620
Ga 0.493 0.910 0.910
Ga 0.993 0.090 0.090
Pd 0.493 0.747 0.513
Pd 0.993 0.487 0.253
Pd 0.493 0.513 0.747
Pd 0.993 0.253 0.487

Properties
* space group: Cmcm (63)
* uncorrected energy: -4.33 eV per atom
* calculated volume: 210 Å³ per cell